Entry 1:
The following is a DFT calculation (PBE) of crystalline BeReP2 at its relaxed geometry.

a b c (Å): 5.841 5.841 5.841
angles (deg): 90.00 90.00 90.00
Positions (direct):
Be1 0.000 0.000 0.000
Be2 0.000 0.500 0.500
Be3 0.500 0.000 0.500
Be4 0.500 0.500 0.000
Re1 0.250 0.250 0.250
Re2 0.250 0.750 0.750
Re3 0.750 0.250 0.750
Re4 0.750 0.750 0.250
P1 0.000 0.000 0.500
P2 0.000 0.500 0.000
P3 0.250 0.250 0.750
P4 0.250 0.750 0.250
P5 0.500 0.000 0.000
P6 0.500 0.500 0.500
P7 0.750 0.250 0.250
P8 0.750 0.750 0.750

* E: -98.7 eV per cell
* N(E_F): 14.06 states/eV per cell
* energy of formation: 0.58 eV per atom
* energy above the lowest structure with this stoichiometry: 0.610 eV per atom

=====

Entry 2:
The following is a DFT calculation (PBE) of crystalline BeRe3P at its relaxed geometry.

a b c (Å): 4.344 4.344 4.344
angles (deg): 90.00 90.00 90.00
Positions (direct):
Be1 0.000 0.000 0.000
Re1 0.000 0.500 0.500
Re2 0.500 0.000 0.500
Re3 0.500 0.500 0.000
P1 0.500 0.500 0.500

* E: -40.8 eV per cell
* N(E_F): 5.00 states/eV per cell
* energy of formation: 1.13 eV per atom
* energy above the lowest structure with this stoichiometry: 0.000 eV per atom

=====

Entry 3:
The following is a DFT calculation (PBE) of crystalline BeReP2 at its relaxed geometry.

a b c (Å): 4.965 6.558 3.055
angles (deg): 90.00 90.48 90.00
Positions (direct):
Be1 0.000 0.000 0.000
Be2 0.500 0.500 0.000
Re1 0.000 0.500 0.000
Re2 0.500 0.000 0.000
P1 0.250 0.250 0.500
P2 0.250 0.750 0.500
P3 0.750 0.250 0.500
P4 0.750 0.750 0.500

* E: -51.8 eV per cell
* N(E_F): 3.38 states/eV per cell
* energy of formation: 0.28 eV per atom
* energy above the lowest structure with this stoichiometry: 0.307 eV per atom

=====

Entry 4:
The following is a DFT calculation (PBE) of crystalline BeReP2 at its relaxed geometry.

a b c (Å): 3.086 4.216 7.395
angles (deg): 90.00 90.00 90.00
Positions (direct):
Be1 0.000 0.000 0.000
Be2 0.500 0.500 0.500
Re1 0.000 0.500 0.227
Re2 0.500 0.000 0.727
P1 0.000 0.000 0.450
P2 0.000 0.500 0.709
P3 0.500 0.000 0.209
P4 0.500 0.500 0.950

* E: -52.5 eV per cell
* N(E_F): 3.24 states/eV per cell
* energy of formation: 0.19 eV per atom
* energy above the lowest structure with this stoichiometry: 0.220 eV per atom

=====

Entry 5:
The following is a DFT calculation (PBE) of crystalline BeRe4P at its relaxed geometry.

a b c (Å): 5.157 5.157 5.157
angles (deg): 60.00 60.00 60.00
Positions (direct):
Be1 0.000 0.000 0.000
Re1 0.126 0.625 0.625
Re2 0.625 0.126 0.625
Re3 0.625 0.625 0.126
Re4 0.625 0.625 0.625
P1 0.250 0.250 0.250

* E: -53.4 eV per cell
* N(E_F): 4.39 states/eV per cell
* energy of formation: 0.93 eV per atom

=====

Entry 6:
The following is a DFT calculation (PBE) of crystalline BeReP3 at its relaxed geometry.

a b c (Å): 4.131 4.131 4.131
angles (deg): 90.00 90.00 90.00
Positions (direct):
Be1 0.000 0.000 0.000
Re1 0.500 0.500 0.500
P1 0.000 0.000 0.500
P2 0.000 0.500 0.000
P3 0.500 0.000 0.000

* E: -26.8 eV per cell
* N(E_F): 4.21 states/eV per cell
* energy of formation: 1.11 eV per atom
* energy above the lowest structure with this stoichiometry: 0.083 eV per atom

=====

> N(E_F) of number 4 (BeReP2)?

3.24 states/eV per cell

=====

> What is the N(E_F) in the second record?

5.00 states/eV per cell